{"formula": "TiZnSnAu", "functional": "PBE", "state": "optimized geometry", "lattice_angstrom": [[6.666, 0.000, 0.000], [0.000, 6.666, 0.000], [0.000, 0.000, 6.666]], "species": ["Ti", "Ti", "Ti", "Ti", "Zn", "Zn", "Zn", "Zn", "Sn", "Sn", "Sn", "Sn", "Au", "Au", "Au", "Au"], "fractional_positions": [[0.000, 0.000, 0.000], [0.000, 0.500, 0.500], [0.500, 0.000, 0.500], [0.500, 0.500, 0.000], [0.000, 0.000, 0.500], [0.000, 0.500, 0.000], [0.500, 0.000, 0.000], [0.500, 0.500, 0.500], [0.250, 0.250, 0.750], [0.250, 0.750, 0.250], [0.750, 0.250, 0.250], [0.750, 0.750, 0.750], [0.250, 0.250, 0.250], [0.250, 0.750, 0.750], [0.750, 0.250, 0.750], [0.750, 0.750, 0.250]], "total_magnetization_mub_per_fu": 0.95, "crystal_system": "cubic", "total_energy_ev_per_atom": -4.167}



{"formula": "CaHoCl", "functional": "PBE", "state": "optimized geometry", "lattice_angstrom": [[3.636, 0.000, 0.000], [-1.818, 3.149, 0.000], [0.000, 0.000, 14.461]], "species": ["Ca", "Ca", "Ho", "Ho", "Cl", "Cl"], "fractional_positions": [[0.000, 0.000, 0.000], [0.333, 0.667, 0.500], [0.333, 0.667, 0.208], [0.333, 0.667, 0.792], [0.000, 0.000, 0.356], [0.000, 0.000, 0.644]], "total_magnetization_mub_per_fu": 0.61, "crystal_system": "hexagonal", "total_energy_ev_per_atom": -3.655}



{"formula": "HoErP2", "functional": "PBE", "state": "optimized geometry", "lattice_angstrom": [[3.977, -7.953, 0.000], [3.977, 7.953, 0.000], [-3.977, 0.000, 5.625]], "species": ["Ho", "Ho", "Ho", "Ho", "Er", "Er", "Er", "Er", "P", "P", "P", "P", "P", "P", "P", "P"], "fractional_positions": [[0.063, 0.937, 0.750], [0.312, 0.688, 0.750], [0.688, 0.312, 0.250], [0.937, 0.063, 0.250], [0.187, 0.813, 0.250], [0.438, 0.562, 0.250], [0.562, 0.438, 0.750], [0.813, 0.187, 0.750], [0.063, 0.438, 0.249], [0.188, 0.313, 0.751], [0.313, 0.188, 0.251], [0.438, 0.063, 0.749], [0.562, 0.937, 0.251], [0.687, 0.812, 0.749], [0.812, 0.687, 0.249], [0.937, 0.562, 0.751]], "relative_energy_kj_per_mol_fu": 0, "total_magnetization_mub_per_fu": 0.00, "crystal_system": "monoclinic", "total_energy_ev_per_atom": -6.605}



{"formula": "Rb3Cd4Ag2", "functional": "PBE", "state": "optimized geometry", "lattice_angstrom": [[4.965, 0.000, 0.000], [2.481, 6.631, 0.000], [0.036, 3.303, 9.680]], "species": ["Rb", "Rb", "Rb", "Cd", "Cd", "Cd", "Cd", "Ag", "Ag"], "fractional_positions": [[0.000, 0.000, 0.000], [0.377, 0.246, 0.628], [0.623, 0.754, 0.372], [0.090, 0.820, 0.636], [0.256, 0.489, 0.920], [0.744, 0.511, 0.080], [0.910, 0.180, 0.364], [0.318, 0.362, 0.225], [0.682, 0.638, 0.775]], "total_magnetization_mub_per_fu": 0.00, "crystal_system": "triclinic", "total_energy_ev_per_atom": -1.416}



{"formula": "Ti7Ni5Sn", "functional": "PBE", "state": "optimized geometry", "lattice_angstrom": [[-2.485, 4.318, 4.527], [2.485, -4.318, 4.527], [2.485, 4.318, -4.527]], "species": ["Ti", "Ti", "Ti", "Ti", "Ti", "Ti", "Ti", "Ni", "Ni", "Ni", "Ni", "Ni", "Sn"], "fractional_positions": [[0.000, 0.000, 0.000], [0.112, 0.780, 0.332], [0.341, 0.341, 0.000], [0.448, 0.780, 0.668], [0.531, 0.031, 0.500], [0.655, 0.316, 0.339], [0.977, 0.316, 0.661], [0.060, 0.560, 0.500], [0.302, 0.297, 0.505], [0.302, 0.797, 0.005], [0.792, 0.297, 0.995], [0.792, 0.797, 0.495], [0.688, 0.688, 0.000]], "total_magnetization_mub_per_fu": 1.53, "crystal_system": "orthorhombic", "total_energy_ev_per_atom": -7.063}



{"formula": "Cs2OsCF6", "functional": "PBE", "state": "optimized geometry", "lattice_angstrom": [[-3.315, 3.315, 4.965], [3.315, -3.315, 4.965], [3.315, 3.315, -4.965]], "species": ["Cs", "Cs", "Os", "C", "F", "F", "F", "F", "F", "F"], "fractional_positions": [[0.250, 0.750, 0.500], [0.750, 0.250, 0.500], [0.000, 0.000, 0.000], [0.500, 0.500, 0.000], [0.199, 0.199, 0.000], [0.209, 0.209, 0.419], [0.209, 0.791, 0.000], [0.791, 0.209, 0.000], [0.791, 0.791, 0.581], [0.801, 0.801, 0.000]], "total_magnetization_mub_per_fu": 4.42, "crystal_system": "tetragonal", "total_energy_ev_per_atom": -4.605}



{"formula": "SbIr", "functional": "PBE", "state": "optimized geometry", "lattice_angstrom": [[5.919, 0.000, 0.000], [0.000, 5.919, 0.000], [0.000, 0.000, 5.919]], "species": ["Sb", "Sb", "Sb", "Sb", "Ir", "Ir", "Ir", "Ir"], "fractional_positions": [[0.000, 0.000, 0.000], [0.000, 0.500, 0.500], [0.500, 0.000, 0.500], [0.500, 0.500, 0.000], [0.250, 0.250, 0.750], [0.250, 0.750, 0.250], [0.750, 0.250, 0.250], [0.750, 0.750, 0.750]], "total_magnetization_mub_per_fu": 0.00, "crystal_system": "cubic", "total_energy_ev_per_atom": -6.288}



{"formula": "SnBr3F", "functional": "PBE", "state": "optimized geometry", "lattice_angstrom": [[6.301, 0.000, 0.000], [0.000, 8.385, 0.000], [-4.729, 0.000, 16.033]], "species": ["Sn", "Sn", "Sn", "Sn", "Br", "Br", "Br", "Br", "Br", "Br", "Br", "Br", "Br", "Br", "Br", "Br", "F", "F", "F", "F"], "fractional_positions": [[0.169, 0.240, 0.358], [0.169, 0.760, 0.858], [0.831, 0.240, 0.142], [0.831, 0.760, 0.642], [0.046, 0.246, 0.487], [0.046, 0.754, 0.987], [0.354, 0.021, 0.860], [0.354, 0.979, 0.360], [0.371, 0.493, 0.361], [0.371, 0.507, 0.861], [0.629, 0.493, 0.139], [0.629, 0.507, 0.639], [0.646, 0.021, 0.640], [0.646, 0.979, 0.140], [0.954, 0.246, 0.013], [0.954, 0.754, 0.513], [0.151, 0.241, 0.217], [0.151, 0.759, 0.717], [0.849, 0.241, 0.283], [0.849, 0.759, 0.783]], "relative_energy_kj_per_mol_fu": 0, "total_magnetization_mub_per_fu": 0.00, "crystal_system": "monoclinic", "total_energy_ev_per_atom": -3.244}



{"formula": "RbAgCl3", "functional": "PBE", "state": "optimized geometry", "lattice_angstrom": [[3.556, 2.053, 7.092], [-3.556, 2.053, 7.092], [0.000, -4.106, 7.092]], "species": ["Rb", "Rb", "Ag", "Ag", "Cl", "Cl", "Cl", "Cl", "Cl", "Cl"], "fractional_positions": [[0.130, 0.130, 0.130], [0.870, 0.870, 0.870], [0.337, 0.337, 0.337], [0.663, 0.663, 0.663], [0.067, 0.501, 0.654], [0.346, 0.933, 0.499], [0.499, 0.346, 0.933], [0.501, 0.654, 0.067], [0.654, 0.067, 0.501], [0.933, 0.499, 0.346]], "total_magnetization_mub_per_fu": 0.00, "crystal_system": "trigonal", "total_energy_ev_per_atom": -2.805}



{"formula": "BaSrPdI", "functional": "PBE", "state": "optimized geometry", "lattice_angstrom": [[4.539, 0.000, 0.000], [-2.269, 3.931, 0.000], [0.000, 0.000, 25.982]], "species": ["Ba", "Ba", "Ba", "Sr", "Sr", "Sr", "Pd", "Pd", "Pd", "I", "I", "I"], "fractional_positions": [[0.000, 0.000, 0.000], [0.333, 0.667, 0.667], [0.667, 0.333, 0.333], [0.000, 0.000, 0.800], [0.333, 0.667, 0.467], [0.667, 0.333, 0.133], [0.000, 0.000, 0.403], [0.333, 0.667, 0.070], [0.667, 0.333, 0.736], [0.000, 0.000, 0.563], [0.333, 0.667, 0.230], [0.667, 0.333, 0.896]], "total_magnetization_mub_per_fu": 0.00, "crystal_system": "trigonal", "total_energy_ev_per_atom": -3.541}



{"formula": "GaCu2Bi2", "functional": "PBE", "state": "optimized geometry", "lattice_angstrom": [[8.280, 0.000, 0.000], [0.000, 8.280, 0.000], [0.000, 0.000, 3.261]], "species": ["Ga", "Ga", "Cu", "Cu", "Cu", "Cu", "Bi", "Bi", "Bi", "Bi"], "fractional_positions": [[0.000, 0.000, 0.000], [0.500, 0.500, 0.000], [0.109, 0.391, 0.500], [0.391, 0.891, 0.500], [0.609, 0.109, 0.500], [0.891, 0.609, 0.500], [0.182, 0.682, 0.000], [0.318, 0.182, 0.000], [0.682, 0.818, 0.000], [0.818, 0.318, 0.000]], "relative_energy_kj_per_mol_fu": 81, "total_magnetization_mub_per_fu": 0.00, "crystal_system": "tetragonal", "total_energy_ev_per_atom": -3.492}



{"formula": "SbPtSe2", "functional": "PBE", "state": "optimized geometry", "lattice_angstrom": [[3.499, 0.000, 0.000], [0.000, 3.499, 0.000], [0.000, 0.000, 8.561]], "species": ["Sb", "Pt", "Se", "Se"], "fractional_positions": [[0.000, 0.000, 0.000], [0.500, 0.500, 0.659], [0.000, 0.000, 0.581], [0.500, 0.500, 0.158]], "total_magnetization_mub_per_fu": 0.00, "crystal_system": "tetragonal", "total_energy_ev_per_atom": -4.196}